Material: Li2HfIr
Method: DFT, PBE-GGA
State: relaxed

Volume = 15.49 Å³/atom
Raw total energy = -5.99 eV per atom
Space-group type = F-43m, No. 216

Cell lengths 4.4415, 4.4415, 4.4415 Å; angles 60.00, 60.00, 60.00 degrees
Closest atoms and distances in Å follow each position.
Fractional positions:
Hf1 0.5000 0.5000 0.5000  4 Ir 2.72, 4 Li 2.72
Ir1 0.7500 0.7500 0.7500  4 Hf 2.72, 4 Li 2.72
Li1 0.0000 0.0000 0.0000  4 Ir 2.72, 4 Li 2.72
Li2 0.2500 0.2500 0.2500  4 Hf 2.72, 4 Li 2.72